A relaxed structure of AcTm2Si4, computed with PBE-GGA.

Output
- Mass density: 7.36 g/cm³
- Raw total energy: -5.647 eV per atom
- Formation energy (no corrections): -0.68 eV per atom
- V: 306 Å³/cell

a b c (Å): 3.930 4.427 17.573
angles (deg): 90.00 90.00 90.00
Atoms (fractional coordinates):
Ac (0.000, 0.000, 0.000)
Ac (0.500, 0.500, 0.500)
Tm (0.000, 0.500, 0.317)
Tm (0.000, 0.500, 0.683)
Tm (0.500, 0.000, 0.183)
Tm (0.500, 0.000, 0.817)
Si (0.000, 0.000, 0.429)
Si (0.000, 0.000, 0.571)
Si (0.000, 0.500, 0.154)
Si (0.000, 0.500, 0.846)
Si (0.500, 0.000, 0.346)
Si (0.500, 0.000, 0.654)
Si (0.500, 0.500, 0.071)
Si (0.500, 0.500, 0.929)

***

A relaxed structure of Na12Ag2Hg, computed with PBE-GGA.

Output
- Mass density: 2.10 g/cm³
- Raw total energy: -1.359 eV per atom
- E_form: 0.097 eV per atom
- V: 1094 Å³/cell

a b c (Å): 6.602 6.602 25.108
angles (deg): 90.00 90.00 90.00
Atoms (fractional coordinates):
Na (0.000, 0.000, 0.083)
Na (0.000, 0.000, 0.917)
Na (0.000, 0.500, 0.083)
Na (0.000, 0.500, 0.917)
Na (0.068, 0.568, 0.435)
Na (0.068, 0.932, 0.565)
Na (0.250, 0.250, 0.192)
Na (0.250, 0.250, 0.325)
Na (0.250, 0.250, 0.675)
Na (0.250, 0.250, 0.808)
Na (0.432, 0.568, 0.565)
Na (0.432, 0.932, 0.435)
Na (0.500, 0.000, 0.083)
Na (0.500, 0.000, 0.917)
Na (0.500, 0.500, 0.083)
Na (0.500, 0.500, 0.917)
Na (0.568, 0.068, 0.565)
Na (0.568, 0.432, 0.435)
Na (0.750, 0.750, 0.192)
Na (0.750, 0.750, 0.325)
Na (0.750, 0.750, 0.675)
Na (0.750, 0.750, 0.808)
Na (0.932, 0.068, 0.435)
Na (0.932, 0.432, 0.565)
Ag (0.250, 0.750, 0.168)
Ag (0.250, 0.750, 0.832)
Ag (0.750, 0.250, 0.168)
Ag (0.750, 0.250, 0.832)
Hg (0.250, 0.750, 0.000)
Hg (0.750, 0.250, 0.000)

***

A relaxed structure of PaZnGaPt3, computed with PBE-GGA.

Output
- Mass density: 14.05 g/cm³
- Raw total energy: -5.819 eV per atom
- E_form: -0.499 eV per atom
- V: 225 Å³/cell

a b c (Å): 6.829 6.829 5.675
angles (deg): 90.00 90.00 121.81
Atoms (fractional coordinates):
Pa (0.193, 0.807, 0.750)
Pa (0.807, 0.193, 0.250)
Zn (0.436, 0.564, 0.750)
Zn (0.564, 0.436, 0.250)
Ga (0.133, 0.867, 0.250)
Ga (0.867, 0.133, 0.750)
Pt (0.211, 0.211, 0.000)
Pt (0.211, 0.211, 0.500)
Pt (0.335, 0.665, 0.250)
Pt (0.665, 0.335, 0.750)
Pt (0.789, 0.789, 0.000)
Pt (0.789, 0.789, 0.500)

***

A relaxed structure of NdCdC, computed with PBE-GGA.

Output
- Mass density: 6.50 g/cm³
- Raw total energy: -5.163 eV per atom
- E_form: -0.195 eV per atom
- V: 275 Å³/cell

a b c (Å): 7.875 3.803 9.634
angles (deg): 90.00 107.83 90.00
Atoms (fractional coordinates):
Nd (0.090, 0.000, 0.346)
Nd (0.410, 0.500, 0.654)
Nd (0.590, 0.500, 0.346)
Nd (0.910, 0.000, 0.654)
Cd (0.182, 0.500, 0.087)
Cd (0.318, 0.000, 0.913)
Cd (0.682, 0.000, 0.087)
Cd (0.818, 0.500, 0.913)
C (0.088, 0.500, 0.534)
C (0.412, 0.000, 0.466)
C (0.588, 0.000, 0.534)
C (0.912, 0.500, 0.466)

***

A relaxed structure of Th2AlGa2Rh5, computed with PBE-GGA.

Output
- Mass density: 10.68 g/cm³
- Raw total energy: -6.929 eV per atom
- E_form: -0.789 eV per atom
- V: 356 Å³/cell

a b c (Å): 9.894 9.894 3.636
angles (deg): 90.00 90.00 90.00
Atoms (fractional coordinates):
Th (0.177, 0.323, 0.000)
Th (0.323, 0.823, 0.000)
Th (0.677, 0.177, 0.000)
Th (0.823, 0.677, 0.000)
Al (0.000, 0.000, 0.000)
Al (0.500, 0.500, 0.000)
Ga (0.121, 0.621, 0.000)
Ga (0.379, 0.121, 0.000)
Ga (0.621, 0.879, 0.000)
Ga (0.879, 0.379, 0.000)
Rh (0.000, 0.500, 0.500)
Rh (0.067, 0.793, 0.500)
Rh (0.207, 0.067, 0.500)
Rh (0.293, 0.567, 0.500)
Rh (0.433, 0.293, 0.500)
Rh (0.500, 0.000, 0.500)
Rh (0.567, 0.707, 0.500)
Rh (0.707, 0.433, 0.500)
Rh (0.793, 0.933, 0.500)
Rh (0.933, 0.207, 0.500)

***

A relaxed structure of InRh2Se, computed with PBE-GGA.

Output
- Mass density: 8.97 g/cm³
- Raw total energy: -5.266 eV per atom
- Formation energy (no corrections): -0.03 eV per atom
- V: 222 Å³/cell

a b c (Å): 3.664 3.664 19.079
angles (deg): 90.00 90.00 120.00
Atoms (fractional coordinates):
In (0.000, 0.000, 0.000)
In (0.333, 0.667, 0.667)
In (0.667, 0.333, 0.333)
Rh (0.000, 0.000, 0.570)
Rh (0.000, 0.000, 0.764)
Rh (0.333, 0.667, 0.237)
Rh (0.333, 0.667, 0.430)
Rh (0.667, 0.333, 0.097)
Rh (0.667, 0.333, 0.903)
Se (0.000, 0.000, 0.169)
Se (0.333, 0.667, 0.835)
Se (0.667, 0.333, 0.502)

***

A relaxed structure of AcAgIrO6, computed with PBE-GGA.

Output
- Mass density: 8.13 g/cm³
- Raw total energy: -6.214 eV per atom
- Formation energy (no corrections): -1.15 eV per atom
- V: 255 Å³/cell

a b c (Å): 5.989 5.989 8.197
angles (deg): 90.00 90.00 120.00
Atoms (fractional coordinates):
Ac (0.333, 0.667, 0.250)
Ac (0.667, 0.333, 0.750)
Ag (0.000, 0.000, 0.000)
Ag (0.000, 0.000, 0.500)
Ir (0.333, 0.667, 0.750)
Ir (0.667, 0.333, 0.250)
O (0.070, 0.401, 0.619)
O (0.070, 0.669, 0.881)
O (0.331, 0.401, 0.881)
O (0.331, 0.930, 0.619)
O (0.401, 0.070, 0.119)
O (0.401, 0.331, 0.381)
O (0.599, 0.669, 0.619)
O (0.599, 0.930, 0.881)
O (0.669, 0.070, 0.381)
O (0.669, 0.599, 0.119)
O (0.930, 0.331, 0.119)
O (0.930, 0.599, 0.381)

***

A relaxed structure of Hf8Sn2Rh, computed with PBE-GGA.

Output
- Mass density: 12.51 g/cm³
- Raw total energy: -8.914 eV per atom
- E_form: -0.280 eV per atom
- V: 235 Å³/cell

a b c (Å): 8.583 8.583 5.758
angles (deg): 91.89 91.89 33.61
Atoms (fractional coordinates):
Hf (0.040, 0.040, 0.263)
Hf (0.231, 0.231, 0.340)
Hf (0.345, 0.345, 0.893)
Hf (0.415, 0.415, 0.422)
Hf (0.585, 0.585, 0.578)
Hf (0.655, 0.655, 0.107)
Hf (0.769, 0.769, 0.660)
Hf (0.960, 0.960, 0.737)
Sn (0.160, 0.160, 0.810)
Sn (0.840, 0.840, 0.190)
Rh (0.500, 0.500, 0.000)